No. 1
The following is a GGA-PBE calculation of an optimized crystal structure of MnCuRu, from Alexandria.

CIF file:
```
data_MnCuRu
_cell_length_a 4.527
_cell_length_b 4.527
_cell_length_c 4.527
_cell_angle_alpha 144.64
_cell_angle_beta 134.02
_cell_angle_gamma 59.31
_symmetry_space_group_name_H-M 'P 1'
_symmetry_Int_Tables_number 1
loop_
_symmetry_equiv_pos_as_xyz
'x,y,z'
loop_
_atom_site_label
_atom_site_fract_x
_atom_site_fract_y
_atom_site_fract_z
Mn1 0.000 0.000 0.000
Cu1 0.332 0.332 0.000
Ru1 0.660 0.660 0.000
```

Summary:
Total moment in μB per cell: 1.78
Space group: Imm2 (44)
Calculated volume in A^3/atom: 12.8
Calculated total energy in eV per cell: -22.1

---

No. 2
The following is a GGA-PBE calculation of an optimized crystal structure of Mn2CuRu, from Alexandria.

CIF file:
```
data_Mn2CuRu
_cell_length_a 2.707
_cell_length_b 3.593
_cell_length_c 5.178
_cell_angle_alpha 90.00
_cell_angle_beta 90.00
_cell_angle_gamma 90.00
_symmetry_space_group_name_H-M 'P 1'
_symmetry_Int_Tables_number 1
loop_
_symmetry_equiv_pos_as_xyz
'x,y,z'
loop_
_atom_site_label
_atom_site_fract_x
_atom_site_fract_y
_atom_site_fract_z
Mn1 0.000 0.000 0.250
Mn2 0.000 0.000 0.750
Cu1 0.500 0.500 0.000
Ru1 0.500 0.500 0.500
```

Summary:
Total moment in μB per cell: 4.29
Space group: Pmmm (47)
Calculated volume in A^3/atom: 12.6
Calculated total energy in eV per cell: -31.0

---

No. 3
The following is a GGA-PBE calculation of an optimized crystal structure of Mn2CuRu, from Alexandria.

CIF file:
```
data_Mn2CuRu
_cell_length_a 8.562
_cell_length_b 8.562
_cell_length_c 8.562
_cell_angle_alpha 17.46
_cell_angle_beta 17.46
_cell_angle_gamma 17.46
_symmetry_space_group_name_H-M 'P 1'
_symmetry_Int_Tables_number 1
loop_
_symmetry_equiv_pos_as_xyz
'x,y,z'
loop_
_atom_site_label
_atom_site_fract_x
_atom_site_fract_y
_atom_site_fract_z
Mn1 0.000 0.000 0.000
Mn2 0.255 0.255 0.255
Cu1 0.751 0.751 0.751
Ru1 0.507 0.507 0.507
```

Summary:
Total moment in μB per cell: 0.41
Space group: R3m (160)
Calculated volume in A^3/atom: 12.3
Calculated total energy in eV per cell: -31.0

---

No. 4
The following is a GGA-PBE calculation of an optimized crystal structure of MnCu2Ru, from Alexandria.

CIF file:
```
data_MnCu2Ru
_cell_length_a 5.392
_cell_length_b 5.392
_cell_length_c 5.392
_cell_angle_alpha 102.34
_cell_angle_beta 102.34
_cell_angle_gamma 124.94
_symmetry_space_group_name_H-M 'P 1'
_symmetry_Int_Tables_number 1
loop_
_symmetry_equiv_pos_as_xyz
'x,y,z'
loop_
_atom_site_label
_atom_site_fract_x
_atom_site_fract_y
_atom_site_fract_z
Mn1 0.000 0.000 0.000
Mn2 0.750 0.250 0.500
Cu1 0.122 0.625 0.997
Cu2 0.375 0.372 0.497
Cu3 0.628 0.125 0.003
Cu4 0.875 0.878 0.503
Ru1 0.250 0.750 0.500
Ru2 0.500 0.500 0.000
```

Summary:
Total moment in μB per cell: 9.34
Space group: I-42d (122)
Calculated volume in A^3/atom: 14.2
Calculated total energy in eV per cell: -48.3

---

No. 5
The following is a GGA-PBE calculation of an optimized crystal structure of Mn2CuRu, from Alexandria.

CIF file:
```
data_Mn2CuRu
_cell_length_a 4.307
_cell_length_b 4.307
_cell_length_c 2.914
_cell_angle_alpha 90.00
_cell_angle_beta 90.00
_cell_angle_gamma 90.00
_symmetry_space_group_name_H-M 'P 1'
_symmetry_Int_Tables_number 1
loop_
_symmetry_equiv_pos_as_xyz
'x,y,z'
loop_
_atom_site_label
_atom_site_fract_x
_atom_site_fract_y
_atom_site_fract_z
Mn1 0.000 0.500 0.000
Mn2 0.500 0.000 0.000
Cu1 0.000 0.000 0.500
Ru1 0.500 0.500 0.500
```

Summary:
Total moment in μB per cell: 7.32
Space group: P4/mmm (123)
Calculated volume in A^3/atom: 13.5
Calculated total energy in eV per cell: -31.0

---

No. 6
The following is a GGA-PBE calculation of an optimized crystal structure of Mn2CuRu, from Alexandria.

CIF file:
```
data_Mn2CuRu
_cell_length_a 4.489
_cell_length_b 4.489
_cell_length_c 4.489
_cell_angle_alpha 131.35
_cell_angle_beta 131.35
_cell_angle_gamma 71.26
_symmetry_space_group_name_H-M 'P 1'
_symmetry_Int_Tables_number 1
loop_
_symmetry_equiv_pos_as_xyz
'x,y,z'
loop_
_atom_site_label
_atom_site_fract_x
_atom_site_fract_y
_atom_site_fract_z
Mn1 0.250 0.750 0.500
Mn2 0.750 0.250 0.500
Cu1 0.000 0.000 0.000
Ru1 0.500 0.500 0.000
```

Summary:
Total moment in μB per cell: 4.44
Space group: I4/mmm (139)
Calculated volume in A^3/atom: 12.5
Calculated total energy in eV per cell: -31.0

---

No. 7
The following is a GGA-PBE calculation of an optimized crystal structure of Mn2CuRu, from Alexandria.

CIF file:
```
data_Mn2CuRu
_cell_length_a 5.381
_cell_length_b 5.381
_cell_length_c 5.381
_cell_angle_alpha 103.30
_cell_angle_beta 103.30
_cell_angle_gamma 122.68
_symmetry_space_group_name_H-M 'P 1'
_symmetry_Int_Tables_number 1
loop_
_symmetry_equiv_pos_as_xyz
'x,y,z'
loop_
_atom_site_label
_atom_site_fract_x
_atom_site_fract_y
_atom_site_fract_z
Mn1 0.125 0.125 0.500
Mn2 0.375 0.875 0.000
Mn3 0.625 0.625 0.500
Mn4 0.875 0.375 0.000
Cu1 0.000 0.000 0.000
Cu2 0.750 0.250 0.500
Ru1 0.250 0.750 0.500
Ru2 0.500 0.500 0.000
```

Summary:
Total moment in μB per cell: 13.40
Space group: I-42d (122)
Calculated volume in A^3/atom: 14.4
Calculated total energy in eV per cell: -58.3

---

No. 8
The following is a GGA-PBE calculation of an optimized crystal structure of Mn2CuRu, from Alexandria.

CIF file:
```
data_Mn2CuRu
_cell_length_a 3.042
_cell_length_b 3.042
_cell_length_c 5.801
_cell_angle_alpha 90.00
_cell_angle_beta 90.00
_cell_angle_gamma 90.00
_symmetry_space_group_name_H-M 'P 1'
_symmetry_Int_Tables_number 1
loop_
_symmetry_equiv_pos_as_xyz
'x,y,z'
loop_
_atom_site_label
_atom_site_fract_x
_atom_site_fract_y
_atom_site_fract_z
Mn1 0.000 0.000 0.249
Mn2 0.000 0.000 0.751
Cu1 0.500 0.500 0.000
Ru1 0.500 0.500 0.500
```

Summary:
Total moment in μB per cell: 7.07
Space group: P4/mmm (123)
Calculated volume in A^3/atom: 13.4
Calculated total energy in eV per cell: -31.1

---

Among the records above, which one has the highest total moment?
number 7

---

What did the seventh record say?
The following is a GGA-PBE calculation of an optimized crystal structure of Mn2CuRu, from Alexandria.

CIF file:
```
data_Mn2CuRu
_cell_length_a 5.381
_cell_length_b 5.381
_cell_length_c 5.381
_cell_angle_alpha 103.30
_cell_angle_beta 103.30
_cell_angle_gamma 122.68
_symmetry_space_group_name_H-M 'P 1'
_symmetry_Int_Tables_number 1
loop_
_symmetry_equiv_pos_as_xyz
'x,y,z'
loop_
_atom_site_label
_atom_site_fract_x
_atom_site_fract_y
_atom_site_fract_z
Mn1 0.125 0.125 0.500
Mn2 0.375 0.875 0.000
Mn3 0.625 0.625 0.500
Mn4 0.875 0.375 0.000
Cu1 0.000 0.000 0.000
Cu2 0.750 0.250 0.500
Ru1 0.250 0.750 0.500
Ru2 0.500 0.500 0.000
```

Summary:
Total moment in μB per cell: 13.40
Space group: I-42d (122)
Calculated volume in A^3/atom: 14.4
Calculated total energy in eV per cell: -58.3